Record 1
# PtSe3, relaxed, DFT PBE
# Calculated total energy, eV per atom: -3.616
# Total magnetization, μB per cell: 0.00
# ΔE to the lowest computed polymorph, kJ/mol of formula units: 239
data_PtSe3
_symmetry_space_group_name_H-M 'P 4/m m m'
_symmetry_Int_Tables_number 123
_symmetry_space_group_name_Hall '-P 4 2'
_cell_length_a 4.967
_cell_length_b 4.967
_cell_length_c 3.005
_cell_angle_alpha 90.00
_cell_angle_beta 90.00
_cell_angle_gamma 90.00
loop_
_atom_site_label
_atom_site_fract_x
_atom_site_fract_y
_atom_site_fract_z
Pt1 0.000 0.000 0.000
Se1 0.000 0.500 0.500
Se2 0.500 0.500 0.000

---

Record 2
# PtSe, relaxed, DFT PBE
# Calculated total energy, eV per atom: -4.690
# Total magnetization, μB per cell: 0.00
data_PtSe
_symmetry_space_group_name_H-M 'F d d d'
_symmetry_Int_Tables_number 70
_cell_length_a 4.778
_cell_length_b 11.093
_cell_length_c 14.599
_cell_angle_alpha 90.00
_cell_angle_beta 90.00
_cell_angle_gamma 90.00
loop_
_symmetry_equiv_pos_as_xyz
'x,y,z'
'-x,-y,-z'
'-x+1/4,-y+1/4,z'
'x+1/4,y+1/4,-z'
'x,-y+1/4,-z+1/4'
'-x,y+1/4,z+1/4'
'-x+1/4,y,-z+1/4'
'x+1/4,-y,z+1/4'
'x,y+1/2,z+1/2'
'-x,-y+1/2,-z+1/2'
'-x+1/4,-y+3/4,z+1/2'
'x+1/4,y+3/4,-z+1/2'
'x,-y+3/4,-z+3/4'
'-x,y+3/4,z+3/4'
'-x+1/4,y+1/2,-z+3/4'
'x+1/4,-y+1/2,z+3/4'
'x+1/2,y,z+1/2'
'-x+1/2,-y,-z+1/2'
'-x+3/4,-y+1/4,z+1/2'
'x+3/4,y+1/4,-z+1/2'
'x+1/2,-y+1/4,-z+3/4'
'-x+1/2,y+1/4,z+3/4'
'-x+3/4,y,-z+3/4'
'x+3/4,-y,z+3/4'
'x+1/2,y+1/2,z'
'-x+1/2,-y+1/2,-z'
'-x+3/4,-y+3/4,z'
'x+3/4,y+3/4,-z'
'x+1/2,-y+3/4,-z+1/4'
'-x+1/2,y+3/4,z+1/4'
'-x+3/4,y+1/2,-z+1/4'
'x+3/4,-y+1/2,z+1/4'
loop_
_atom_site_label
_atom_site_fract_x
_atom_site_fract_y
_atom_site_fract_z
Pt1 0.125 0.303 0.125
Se1 0.125 0.125 0.016

---

Record 3
# PtSe, relaxed, DFT PBE
# Calculated total energy, eV per atom: -4.829
# Total magnetization, μB per cell: 0.00
data_PtSe
_symmetry_space_group_name_H-M 'C 1 2/m 1'
_symmetry_Int_Tables_number 12
_cell_length_a 11.641
_cell_length_b 3.685
_cell_length_c 3.700
_cell_angle_alpha 90.00
_cell_angle_beta 108.45
_cell_angle_gamma 90.00
loop_
_symmetry_equiv_pos_as_xyz
'x,y,z'
'-x,-y,-z'
'-x,y,-z'
'x,-y,z'
'x+1/2,y+1/2,z'
'-x+1/2,-y+1/2,-z'
'-x+1/2,y+1/2,-z'
'x+1/2,-y+1/2,z'
loop_
_atom_site_label
_atom_site_fract_x
_atom_site_fract_y
_atom_site_fract_z
Pt1 0.121 0.000 0.122
Se1 0.144 0.500 0.644

---

Record 4
# PtSe3, relaxed, DFT PBE
# Calculated total energy, eV per atom: -3.928
# Total magnetization, μB per cell: 0.00
# ΔE to the lowest computed polymorph, kJ/mol of formula units: 118
data_PtSe3
_symmetry_space_group_name_H-M 'P m m 2'
_symmetry_Int_Tables_number 25
_cell_length_a 3.491
_cell_length_b 3.644
_cell_length_c 6.759
_cell_angle_alpha 90.00
_cell_angle_beta 90.00
_cell_angle_gamma 90.00
loop_
_symmetry_equiv_pos_as_xyz
'x,y,z'
'-x,-y,z'
'-x,y,z'
'x,-y,z'
loop_
_atom_site_label
_atom_site_fract_x
_atom_site_fract_y
_atom_site_fract_z
Pt1 0.000 0.000 0.000
Se1 0.000 0.500 0.482
Se2 0.500 0.000 0.748
Se3 0.500 0.500 0.193

---

Record 5
# PtSe, relaxed, DFT PBE
# Calculated total energy, eV per atom: -4.840
# Total magnetization, μB per cell: 0.00
data_PtSe
_symmetry_space_group_name_H-M 'C 1 m 1'
_symmetry_Int_Tables_number 8
_cell_length_a 11.314
_cell_length_b 3.780
_cell_length_c 7.774
_cell_angle_alpha 90.00
_cell_angle_beta 129.08
_cell_angle_gamma 90.00
loop_
_symmetry_equiv_pos_as_xyz
'x,y,z'
'x,-y,z'
'x+1/2,y+1/2,z'
'x+1/2,-y+1/2,z'
loop_
_atom_site_label
_atom_site_fract_x
_atom_site_fract_y
_atom_site_fract_z
Pt1 0.000 0.000 0.000
Pt2 0.059 0.500 0.282
Pt3 0.361 0.500 0.463
Se1 0.105 0.000 0.521
Se2 0.273 0.000 0.195
Se3 0.488 0.000 0.753

---

Record 6
# PtSe3, relaxed, DFT PBE
# Calculated total energy, eV per atom: -4.166
# Total magnetization, μB per cell: 0.00
# ΔE to the lowest computed polymorph, kJ/mol of formula units: 26
data_PtSe3
_symmetry_space_group_name_H-M 'R -3 m'
_symmetry_Int_Tables_number 166
_symmetry_space_group_name_Hall '-R 3 2"'
_cell_length_a 3.7642
_cell_length_b 3.7642
_cell_length_c 20.1263
_cell_angle_alpha 90.00
_cell_angle_beta 90.00
_cell_angle_gamma 120.00
loop_
_atom_site_label
_atom_site_fract_x
_atom_site_fract_y
_atom_site_fract_z
Pt1 0.0000 0.0000 0.0000
Se1 0.0000 0.0000 0.2644
Se2 0.0000 0.0000 0.5000

---

Record 7
# PtSe2, relaxed, DFT PBE
# Calculated total energy, eV per atom: -4.347
# Total magnetization, μB per cell: 0.00
data_PtSe2
_symmetry_space_group_name_H-M 'F m m 2'
_symmetry_Int_Tables_number 42
_symmetry_space_group_name_Hall 'F 2 -2'
_cell_length_a 3.679
_cell_length_b 10.927
_cell_length_c 6.479
_cell_angle_alpha 90.00
_cell_angle_beta 90.00
_cell_angle_gamma 90.00
loop_
_atom_site_label
_atom_site_fract_x
_atom_site_fract_y
_atom_site_fract_z
Pt1 0.000 0.000 0.000
Se1 0.000 0.133 0.326

---

Record 8
# PtSe3, relaxed, DFT PBE
# Calculated total energy, eV per atom: -3.401
# Total magnetization, μB per cell: 0.00
# ΔE to the lowest computed polymorph, kJ/mol of formula units: 322
data_PtSe3
_symmetry_space_group_name_H-M 'P m -3 m'
_symmetry_Int_Tables_number 221
_symmetry_space_group_name_Hall '-P 4 2 3'
_cell_length_a 4.238
_cell_length_b 4.238
_cell_length_c 4.238
_cell_angle_alpha 90.00
_cell_angle_beta 90.00
_cell_angle_gamma 90.00
loop_
_atom_site_label
_atom_site_fract_x
_atom_site_fract_y
_atom_site_fract_z
Pt1 0.000 0.000 0.000
Se1 0.000 0.500 0.500